Entry from Alexandria via LeMat-Bulk: a geometry-optimized Ac2MgSc structure (PBE-GGA).

a b c (Å): 3.685 3.685 12.834
angles (deg): 81.75 81.75 60.00
Atoms (fractional coordinates):
1 Sc 0.500 0.500 0.500
2 Ac 0.907 0.907 0.278
3 Ac 0.093 0.093 0.722
4 Mg 0.000 0.000 0.000

- calculated formation energy (meV/atom) = 304
- calculated total energy (eV per formula unit) = -14.929



Entry from Alexandria via LeMat-Bulk: a geometry-optimized AsIr2Ru structure (PBE-GGA).

a b c (Å): 4.080 2.838 5.343
angles (deg): 73.44 90.00 90.00
Atoms (fractional coordinates):
1 Ir 0.000 0.622 0.503
2 Ir 0.000 0.878 0.997
3 Ru 0.500 0.250 0.250
4 As 0.500 0.750 0.750

- calculated formation energy (meV/atom) = 160
- calculated total energy (eV per formula unit) = -31.008



Entry from Alexandria via LeMat-Bulk: a geometry-optimized Pm2PrHo5 structure (PBE-GGA).

a b c (Å): 9.935 6.489 10.943
angles (deg): 119.64 117.00 90.00
Atoms (fractional coordinates):
1 Pm 0.329 0.039 0.151
2 Pm 0.177 0.461 0.849
3 Pm 0.671 0.961 0.849
4 Pm 0.823 0.539 0.151
5 Ho 0.688 0.056 0.198
6 Ho 0.943 0.750 0.000
7 Ho 0.510 0.556 0.198
8 Ho 0.895 0.630 0.610
9 Ho 0.312 0.944 0.802
10 Ho 0.490 0.444 0.802
11 Ho 0.286 0.870 0.390
12 Ho 0.105 0.370 0.390
13 Ho 0.714 0.130 0.610
14 Ho 0.057 0.250 0.000
15 Pr 0.000 0.000 0.500
16 Pr 0.500 0.500 0.500

- calculated formation energy (meV/atom) = 174
- calculated total energy (eV per formula unit) = -35.774



Entry from Alexandria via LeMat-Bulk: a geometry-optimized NdTmCd2Pd4 structure (PBE-GGA).

a b c (Å): 4.806 4.806 8.432
angles (deg): 73.44 73.44 60.00
Atoms (fractional coordinates):
1 Pd 0.620 0.620 0.141
2 Pd 0.127 0.127 0.619
3 Pd 0.873 0.873 0.381
4 Pd 0.380 0.380 0.859
5 Cd 0.751 0.751 0.747
6 Cd 0.249 0.249 0.253
7 Nd 0.000 0.000 0.000
8 Tm 0.500 0.500 0.500

- calculated formation energy (meV/atom) = -696
- calculated total energy (eV per formula unit) = -37.408



Entry from Alexandria via LeMat-Bulk: a geometry-optimized Sm2BeNi4P3 structure (PBE-GGA).

a b c (Å): 3.922 3.922 9.291
angles (deg): 90.00 90.00 90.00
Atoms (fractional coordinates):
1 Sm 0.500 0.000 0.252
2 Sm 0.000 0.500 0.748
3 Ni 0.000 0.000 0.000
4 Ni 0.500 0.500 0.000
5 Ni 0.500 0.000 0.618
6 Ni 0.000 0.500 0.382
7 P 0.000 0.500 0.136
8 P 0.500 0.000 0.864
9 P 0.000 0.000 0.500
10 Be 0.500 0.500 0.500

- calculated formation energy (meV/atom) = -931
- calculated total energy (eV per formula unit) = -61.826



Entry from Alexandria via LeMat-Bulk: a geometry-optimized YSeN2O structure (PBE-GGA).

a b c (Å): 3.902 3.902 3.920
angles (deg): 90.00 90.00 90.00
Atoms (fractional coordinates):
1 N 0.500 0.000 0.000
2 N 0.000 0.500 0.000
3 O 0.000 0.000 0.500
4 Y 0.500 0.500 0.500
5 Se 0.000 0.000 0.000

- calculated total energy (eV per formula unit) = -32.602
- uncorrected formation energy (meV per atom) = -209



Entry from Alexandria via LeMat-Bulk: a geometry-optimized Nd3Tl5H12 structure (PBE-GGA).

a b c (Å): 11.808 11.808 11.808
angles (deg): 109.47 109.47 109.47
Atoms (fractional coordinates):
1 H 0.078 0.162 0.416
2 H 0.078 0.915 0.162
3 H 0.422 0.084 0.338
4 H 0.254 0.838 0.916
5 H 0.416 0.754 0.838
6 H 0.754 0.416 0.338
7 H 0.578 0.662 0.415
8 H 0.662 0.578 0.915
9 H 0.415 0.162 0.578
10 H 0.916 0.578 0.162
11 H 0.415 0.254 0.338
12 H 0.338 0.916 0.754
13 H 0.584 0.338 0.922
14 H 0.246 0.584 0.662
15 H 0.578 0.916 0.662
16 H 0.838 0.254 0.416
17 H 0.162 0.746 0.584
18 H 0.662 0.416 0.578
19 H 0.915 0.078 0.662
20 H 0.085 0.162 0.246
21 H 0.422 0.338 0.585
22 H 0.838 0.585 0.922
23 H 0.922 0.085 0.838
24 H 0.246 0.662 0.085
25 H 0.416 0.662 0.078
26 H 0.162 0.085 0.746
27 H 0.585 0.746 0.662
28 H 0.585 0.838 0.422
29 H 0.584 0.246 0.162
30 H 0.162 0.415 0.078
31 H 0.754 0.338 0.915
32 H 0.338 0.754 0.415
33 H 0.838 0.922 0.084
34 H 0.916 0.338 0.254
35 H 0.746 0.585 0.162
36 H 0.838 0.915 0.254
37 H 0.915 0.838 0.754
38 H 0.162 0.078 0.916
39 H 0.085 0.922 0.338
40 H 0.254 0.415 0.838
41 H 0.084 0.662 0.746
42 H 0.662 0.246 0.585
43 H 0.746 0.162 0.084
44 H 0.662 0.084 0.246
45 H 0.922 0.838 0.584
46 H 0.338 0.584 0.422
47 H 0.084 0.422 0.838
48 H 0.338 0.422 0.085
49 Tl 0.500 0.500 0.000
50 Tl 0.500 0.500 0.500
51 Tl 0.000 0.000 0.000
52 Tl 0.375 0.125 0.750
53 Tl 0.750 0.125 0.875
54 Tl 0.375 0.250 0.125
55 Tl 0.250 0.875 0.125
56 Tl 0.500 0.000 0.000
57 Tl 0.000 0.000 0.500
58 Tl 0.750 0.625 0.375
59 Tl 0.000 0.500 0.000
60 Tl 0.125 0.750 0.375
61 Tl 0.875 0.625 0.750
62 Tl 0.000 0.500 0.500
63 Tl 0.500 0.000 0.500
64 Tl 0.625 0.875 0.250
65 Tl 0.250 0.375 0.625
66 Tl 0.875 0.250 0.625
67 Tl 0.625 0.750 0.875
68 Tl 0.125 0.375 0.250
69 Nd 0.250 0.625 0.875
70 Nd 0.125 0.875 0.750
71 Nd 0.750 0.375 0.125
72 Nd 0.375 0.625 0.250
73 Nd 0.750 0.875 0.625
74 Nd 0.875 0.750 0.125
75 Nd 0.625 0.375 0.750
76 Nd 0.125 0.250 0.875
77 Nd 0.375 0.750 0.625
78 Nd 0.250 0.125 0.375
79 Nd 0.625 0.250 0.375
80 Nd 0.875 0.125 0.250

- calculated total energy (eV per formula unit) = -65.456



Entry from Alexandria via LeMat-Bulk: a geometry-optimized Sr2MgGa3Ir4 structure (PBE-GGA).

a b c (Å): 4.318 4.318 10.603
angles (deg): 90.00 90.00 90.00
Atoms (fractional coordinates):
1 Ga 0.000 0.000 0.500
2 Ga 0.500 0.000 0.877
3 Ga 0.000 0.500 0.123
4 Ir 0.000 0.500 0.363
5 Ir 0.500 0.500 0.000
6 Ir 0.000 0.000 0.000
7 Ir 0.500 0.000 0.637
8 Mg 0.500 0.500 0.500
9 Sr 0.500 0.000 0.241
10 Sr 0.000 0.500 0.759

- calculated formation energy (meV/atom) = -494
- calculated total energy (eV per formula unit) = -54.419